(1)
{
  "formula": "UAgSe3",
  "functional": "PBE-GGA",
  "state": "optimized geometry",
  "lattice": [[3.5457, 2.0471, 6.2420], [-3.5457, 2.0471, 6.2420], [0.0000, -4.0942, 6.2420]],
  "species": ["U", "U", "Ag", "Ag", "Se", "Se", "Se", "Se", "Se", "Se"],
  "fractional_positions": [[0.1633, 0.1633, 0.1633], [0.8367, 0.8367, 0.8367], [0.3478, 0.3478, 0.3478], [0.6522, 0.6522, 0.6522], [0.0643, 0.4280, 0.7645], [0.2355, 0.9357, 0.5720], [0.4280, 0.7645, 0.0643], [0.5720, 0.2355, 0.9357], [0.7645, 0.0643, 0.4280], [0.9357, 0.5720, 0.2355]],
  "total_magnetization_mub_per_fu": 1.00,
  "e_above_lowest_polymorph_mev_per_atom": 0,
  "volume_a3_per_atom": 27.18,
  "raw_formation_energy_ev_per_atom": -0.722,
  "sg": "No. 148",
  "e_tot_ev_per_cell": -56.410
}

(2)
{
  "formula": "MnAg3",
  "functional": "PBE-GGA",
  "state": "optimized geometry",
  "lattice": [[-2.0384, 2.0384, 4.1466], [2.0384, -2.0384, 4.1466], [2.0384, 2.0384, -4.1466]],
  "species": ["Mn", "Ag", "Ag", "Ag"],
  "fractional_positions": [[0.0000, 0.0000, 0.0000], [0.2500, 0.7500, 0.5000], [0.5000, 0.5000, 0.0000], [0.7500, 0.2500, 0.5000]],
  "total_magnetization_mub_per_fu": 4.28,
  "formation_energy_ev_per_atom": 0.1653,
  "volume_a3_per_atom": 17.23,
  "sg": "No. 139",
  "e_tot_ev_per_cell": -17.062
}

(3)
{
  "formula": "LaCdGa2",
  "functional": "PBE-GGA",
  "state": "optimized geometry",
  "lattice": [[2.2745, 1.3132, 5.3312], [-2.2745, 1.3132, 5.3312], [0.0000, -2.6264, 5.3312]],
  "species": ["La", "Cd", "Ga", "Ga"],
  "fractional_positions": [[0.0000, 0.0000, 0.0000], [0.5000, 0.5000, 0.5000], [0.2234, 0.2234, 0.2234], [0.7766, 0.7766, 0.7766]],
  "total_magnetization_mub_per_fu": 0.00,
  "formation_energy_ev_per_atom": -0.4426,
  "volume_a3_per_atom": 23.89,
  "sg": "No. 166",
  "e_tot_ev_per_cell": -13.667
}

(4)
{
  "formula": "NiTe2As",
  "functional": "PBE-GGA",
  "state": "optimized geometry",
  "lattice": [[3.7373, 0.0000, 0.0000], [0.0000, 2.6351, 4.4689], [0.0000, -2.6351, 4.4689]],
  "species": ["Ni", "Te", "Te", "As"],
  "fractional_positions": [[0.0000, 0.0000, 0.0000], [0.0000, 0.5150, 0.5150], [0.5000, 0.1991, 0.1991], [0.5000, 0.8301, 0.8301]],
  "total_magnetization_mub_per_fu": 0.00,
  "volume_a3_per_atom": 22.00,
  "raw_formation_energy_ev_per_atom": -0.041,
  "sg": "No. 38",
  "e_tot_ev_per_cell": -16.880
}

(5)
{
  "formula": "Rb2LiS2",
  "functional": "PBE-GGA",
  "state": "optimized geometry",
  "lattice": [[7.5793, 0.0000, 0.0000], [0.0000, 7.5793, 0.0000], [0.0000, 0.0000, 4.9905]],
  "species": ["Rb", "Rb", "Rb", "Rb", "Li", "Li", "S", "S", "S", "S"],
  "fractional_positions": [[0.1539, 0.3461, 0.0000], [0.3461, 0.8461, 0.0000], [0.6539, 0.1539, 0.0000], [0.8461, 0.6539, 0.0000], [0.0000, 0.0000, 0.5000], [0.5000, 0.5000, 0.5000], [0.1538, 0.6538, 0.5000], [0.3462, 0.1538, 0.5000], [0.6538, 0.8462, 0.5000], [0.8462, 0.3462, 0.5000]],
  "total_magnetization_mub_per_fu": 1.00,
  "e_above_lowest_polymorph_mev_per_atom": 0,
  "volume_a3_per_atom": 28.67,
  "raw_formation_energy_ev_per_atom": -0.695,
  "sg": "No. 127",
  "e_tot_ev_per_cell": -31.156
}

(6)
{
  "formula": "Ca2AlSn",
  "functional": "PBE-GGA",
  "state": "optimized geometry",
  "lattice": [[4.7985, 0.0000, 0.0000], [0.0000, 4.7985, 0.0000], [0.0000, 0.0000, 4.5647]],
  "species": ["Ca", "Ca", "Al", "Sn"],
  "fractional_positions": [[0.0000, 0.5000, 0.0000], [0.5000, 0.0000, 0.0000], [0.0000, 0.0000, 0.5000], [0.5000, 0.5000, 0.5000]],
  "total_magnetization_mub_per_fu": 0.00,
  "formation_energy_ev_per_atom": -0.4093,
  "volume_a3_per_atom": 26.28,
  "sg": "No. 123",
  "e_tot_ev_per_cell": -13.386
}

(7)
{
  "formula": "PuPa2Tc4",
  "functional": "PBE-GGA",
  "state": "optimized geometry",
  "lattice": [[6.5770, 0.0000, 0.0000], [-1.6569, 6.4190, 0.0000], [-3.1030, -1.0574, 6.6079]],
  "species": ["Pu", "Pu", "Pa", "Pa", "Pa", "Pa", "Tc", "Tc", "Tc", "Tc", "Tc", "Tc", "Tc", "Tc"],
  "fractional_positions": [[0.0000, 0.0000, 0.0000], [0.1573, 0.7097, 0.3742], [0.5167, 0.4682, 0.5813], [0.5293, 0.2190, 0.9830], [0.6372, 0.7982, 0.2462], [0.9883, 0.3284, 0.6415], [0.0219, 0.2335, 0.2747], [0.0436, 0.6894, 0.7681], [0.1984, 0.0168, 0.6099], [0.2888, 0.4735, 0.0965], [0.4447, 0.1566, 0.3535], [0.4773, 0.7191, 0.8402], [0.7124, 0.9299, 0.6142], [0.8553, 0.5298, 0.0230]],
  "total_magnetization_mub_per_fu": 4.06,
  "formation_energy_ev_per_atom": 0.0117,
  "volume_a3_per_atom": 19.93,
  "sg": "No. 1",
  "e_tot_ev_per_cell": -149.411
}

(8)
{
  "formula": "SmErTcPd",
  "functional": "PBE-GGA",
  "state": "optimized geometry",
  "lattice": [[0.0000, 3.4734, 3.4734], [3.4734, 0.0000, 3.4734], [3.4734, 3.4734, 0.0000]],
  "species": ["Sm", "Er", "Tc", "Pd"],
  "fractional_positions": [[0.0000, 0.0000, 0.0000], [0.5000, 0.5000, 0.5000], [0.7500, 0.7500, 0.7500], [0.2500, 0.2500, 0.2500]],
  "total_magnetization_mub_per_fu": 0.00,
  "formation_energy_ev_per_atom": -0.3224,
  "volume_a3_per_atom": 20.95,
  "sg": "No. 216",
  "e_tot_ev_per_cell": -26.130
}

(9)
{
  "formula": "Tl2BiPd8",
  "functional": "PBE-GGA",
  "state": "optimized geometry",
  "lattice": [[7.3810, -2.1077, 0.0000], [7.3810, 2.1077, 0.0000], [-1.7387, 0.0000, 6.2247]],
  "species": ["Tl", "Tl", "Bi", "Pd", "Pd", "Pd", "Pd", "Pd", "Pd", "Pd", "Pd"],
  "fractional_positions": [[0.2151, 0.2151, 0.1582], [0.7849, 0.7849, 0.8418], [0.5000, 0.5000, 0.5000], [0.0363, 0.0363, 0.2281], [0.1485, 0.1485, 0.7037], [0.3237, 0.3237, 0.5806], [0.4095, 0.4095, 0.0383], [0.5905, 0.5905, 0.9617], [0.6763, 0.6763, 0.4194], [0.8515, 0.8515, 0.2963], [0.9637, 0.9637, 0.7719]],
  "total_magnetization_mub_per_fu": 0.00,
  "e_above_lowest_polymorph_mev_per_atom": 4,
  "formation_energy_ev_per_atom": -0.1832,
  "volume_a3_per_atom": 17.61,
  "sg": "No. 12",
  "e_tot_ev_per_cell": -52.171
}

(10)
{
  "formula": "BaCu2Mo",
  "functional": "PBE-GGA",
  "state": "optimized geometry",
  "lattice": [[-2.2759, 2.8679, 3.6471], [2.2759, -2.8679, 3.6471], [2.2759, 2.8679, -3.6471]],
  "species": ["Ba", "Cu", "Cu", "Mo"],
  "fractional_positions": [[0.0000, 0.0000, 0.0000], [0.3201, 0.8201, 0.5000], [0.6799, 0.1799, 0.5000], [0.5000, 0.5000, 0.0000]],
  "total_magnetization_mub_per_fu": 3.02,
  "e_above_lowest_polymorph_mev_per_atom": 395,
  "formation_energy_ev_per_atom": 0.8485,
  "volume_a3_per_atom": 23.80,
  "sg": "No. 71",
  "e_tot_ev_per_cell": -17.552
}

(11)
{
  "formula": "UPH2",
  "functional": "PBE-GGA",
  "state": "optimized geometry",
  "lattice": [[3.7119, 0.0000, 0.0000], [0.0000, 5.4797, 0.0000], [0.0000, 0.0000, 4.4008]],
  "species": ["U", "U", "P", "P", "H", "H", "H", "H"],
  "fractional_positions": [[0.2500, 0.2500, 0.1776], [0.7500, 0.7500, 0.8224], [0.2500, 0.7500, 0.3465], [0.7500, 0.2500, 0.6535], [0.2500, 0.5533, 0.8701], [0.2500, 0.9467, 0.8701], [0.7500, 0.0533, 0.1299], [0.7500, 0.4467, 0.1299]],
  "total_magnetization_mub_per_fu": 1.02,
  "e_above_lowest_polymorph_mev_per_atom": 0,
  "volume_a3_per_atom": 11.19,
  "sg": "No. 59",
  "e_tot_ev_per_cell": -50.576
}

(12)
{
  "formula": "Ta3V2S8",
  "functional": "PBE-GGA",
  "state": "optimized geometry",
  "lattice": [[6.2077, -3.4225, 0.0000], [6.2077, 3.4225, 0.0000], [-1.8317, 0.0000, 5.6150]],
  "species": ["Ta", "Ta", "Ta", "V", "V", "S", "S", "S", "S", "S", "S", "S", "S"],
  "fractional_positions": [[0.0000, 0.0000, 0.0000], [0.2777, 0.7223, 0.5000], [0.7223, 0.2777, 0.5000], [0.2319, 0.2319, 0.8107], [0.7681, 0.7681, 0.1893], [0.1175, 0.1175, 0.4138], [0.1291, 0.6154, 0.0781], [0.3788, 0.3788, 0.6164], [0.3846, 0.8709, 0.9219], [0.6154, 0.1291, 0.0781], [0.6212, 0.6212, 0.3836], [0.8709, 0.3846, 0.9219], [0.8825, 0.8825, 0.5862]],
  "total_magnetization_mub_per_fu": 3.03,
  "volume_a3_per_atom": 18.35,
  "raw_formation_energy_ev_per_atom": -0.825,
  "sg": "No. 12",
  "e_tot_ev_per_cell": -97.543
}

(13)
{
  "formula": "LaVAg3",
  "functional": "PBE-GGA",
  "state": "optimized geometry",
  "lattice": [[5.5045, 0.0000, 0.0000], [0.0000, 5.5045, 0.0000], [0.0000, 0.0000, 5.5045]],
  "species": ["La", "V", "Ag", "Ag", "Ag"],
  "fractional_positions": [[0.0000, 0.0000, 0.0000], [0.5000, 0.5000, 0.5000], [0.0000, 0.0000, 0.5000], [0.0000, 0.5000, 0.0000], [0.5000, 0.0000, 0.0000]],
  "total_magnetization_mub_per_fu": 3.62,
  "e_above_lowest_polymorph_mev_per_atom": 912,
  "formation_energy_ev_per_atom": 1.3925,
  "volume_a3_per_atom": 33.36,
  "sg": "No. 221",
  "e_tot_ev_per_cell": -15.637
}